! DyAlZn | OQMD via LeMat-Bulk | PBE | optimized geometry; values from VASP
&SYSTEM
  ibrav = 0, nat = 3, ntyp = 3
/
ATOMIC_SPECIES
Dy 162.50 Dy.upf
Al 26.98 Al.upf
Zn 65.41 Zn.upf
CELL_PARAMETERS angstrom
4.4865 0.0000 0.0000
-2.2433 3.8854 0.0000
0.0000 0.0000 3.5398
ATOMIC_POSITIONS angstrom
Dy 0.0000 0.0000 0.0000
Al 2.2433 1.2951 1.7699
Zn 0.0000 2.5903 1.7699
! **Space-group type**: P-6m2 (187)
! **Magnetization**: 0.0 μB per cell
! **Electronic total energy**: -3.661 eV per atom